Record 1
Cd3HgF (PBE-GGA, relaxed); raw formation energy = -0.16 eV per atom; E = -5.7 eV per cell; symmetry = Pm-3m (221)
1.0
5.430 0.000 0.000
0.000 5.430 0.000
0.000 0.000 5.430
Cd Hg F
3 1 1
direct
0.000 0.000 0.500 Cd
0.000 0.500 0.000 Cd
0.500 0.000 0.000 Cd
0.000 0.000 0.000 Hg
0.500 0.500 0.500 F

---

Record 2
BaRe3Br (PBE-GGA, relaxed); raw formation energy = 2.17 eV per atom; E = -30.1 eV per cell; symmetry = Pm-3m (221)
1.0
4.790 0.000 0.000
0.000 4.790 0.000
0.000 0.000 4.790
Ba Re Br
1 3 1
direct
0.000 0.000 0.000 Ba
0.000 0.500 0.500 Re
0.500 0.000 0.500 Re
0.500 0.500 0.000 Re
0.500 0.500 0.500 Br

---

Record 3
BeAl2Sb (PBE-GGA, relaxed); raw formation energy = 0.35 eV per atom; E = -13.9 eV per cell; symmetry = Immm (71)
1.0
-1.825 1.865 5.506
1.825 -1.865 5.506
1.825 1.865 -5.506
Be Al Sb
1 2 1
direct
0.000 0.000 0.000 Be
0.201 0.701 0.500 Al
0.799 0.299 0.500 Al
0.500 0.500 0.000 Sb

---

Record 4
EuMg2Hg (PBE-GGA, relaxed); energy of formation from the pure elements = -0.179 eV/atom; E = -14.5 eV per cell; symmetry = Fm-3m (225)
1.0
0.000 3.645 3.645
3.645 0.000 3.645
3.645 3.645 0.000
Eu Mg Hg
1 2 1
direct
0.000 0.000 0.000 Eu
0.250 0.250 0.250 Mg
0.750 0.750 0.750 Mg
0.500 0.500 0.500 Hg

---

no.,energy relative to the lowest polymorph listed for this composition (meV per atom),mass density (g cm⁻³)
1,171.3,5.8
2,0.0,11.7
3,98.3,4.1
4,8.8,6.9